A relaxed structure of ErThH. Source: Alexandria via LeMat-Bulk, functional PBE.

## Properties
SG   P2_1/c
Energy relative to the lowest polymorph listed for this composition   0.0 meV/atom
Crystal system   monoclinic
Magnetization   0.00 μB per cell

Unit cell a=5.8482 b=7.2772 c=7.3859 alpha=58.78 beta=90.00 gamma=90.00
Fractional positions:
H  0.8661  0.6624  0.9176
H  0.3661  0.8376  0.5824
H  0.1339  0.3376  0.0824
H  0.6339  0.1624  0.4176
Th  0.7372  0.8320  0.0906
Th  0.2372  0.6680  0.4094
Th  0.2628  0.1680  0.9094
Th  0.7628  0.3320  0.5906
Er  0.7374  0.8294  0.5934
Er  0.2374  0.6706  0.9066
Er  0.2626  0.1706  0.4066
Er  0.7626  0.3294  0.0934

---

A relaxed structure of ErTiH3. Source: Alexandria via LeMat-Bulk, functional PBE.

## Properties
SG   Pm-3m
Raw total energy   -4.8789 eV/atom
Crystal system   cubic
Magnetization   0.00 μB per cell

Unit cell a=3.6952 b=3.6952 c=3.6952 alpha=90.00 beta=90.00 gamma=90.00
Fractional positions:
H  0.0000  0.5000  0.0000
H  0.0000  0.0000  0.5000
H  0.5000  0.0000  0.0000
Ti  0.0000  0.0000  0.0000
Er  0.5000  0.5000  0.5000